--- 1 ---
DFT (PBE-GGA) results for a relaxed structure of YPu2Fe.

Cell and atoms, written as POSCAR:
```
YPu2Fe
1.0
3.3046 0.0000 0.0000
0.0000 3.3046 0.0000
0.0000 0.0000 8.7876
Pu Fe Y
2 1 1
Direct
0.0000 0.0000 0.8108
0.0000 0.0000 0.1892
0.5000 0.5000 0.0000
0.5000 0.5000 0.5000
```

Properties
Crystal system = tetragonal
Space group = No. 123
Calculated density = 10.95 Mg/m³
Magnetic moment = 9.475 Bohr magnetons per cell


--- 2 ---
DFT (PBE-GGA) results for a relaxed structure of YPu2Fe.

Cell and atoms, written as POSCAR:
```
YPu2Fe
1.0
-2.5335 -2.4823 2.4696
-3.3509 -2.0897 -1.7562
1.2998 -5.8831 -0.7980
Pu Fe Y
2 1 1
Direct
0.6870 0.6870 0.9390
0.3130 0.3130 0.0610
0.0000 0.0000 0.0000
0.5000 0.5000 0.5000
```

Properties
Crystal system = trigonal
Space group = No. 166
Calculated density = 11.72 Mg/m³
Magnetic moment = 4.327 Bohr magnetons per cell


Stability verdict: 1, ahead by 41.1 kJ/mol of atoms


--- 1 ---
DFT (PBE-GGA) results for a relaxed structure of Pu2ZnFe.

Cell and atoms, written as POSCAR:
```
Pu2ZnFe
1.0
3.1436 0.0000 0.0000
0.0000 3.1436 0.0000
0.0000 0.0000 8.0386
Pu Fe Zn
2 1 1
Direct
0.0000 0.0000 0.2218
0.0000 0.0000 0.7782
0.5000 0.5000 0.0000
0.5000 0.5000 0.5000
```

Properties
Crystal system = tetragonal
Space group = No. 123
Calculated density = 12.74 Mg/m³
Magnetic moment = 9.118 Bohr magnetons per cell


--- 2 ---
DFT (PBE-GGA) results for a relaxed structure of Pu2ZnFe.

Cell and atoms, written as POSCAR:
```
Pu2ZnFe
1.0
2.6588 0.0000 0.0000
1.3294 2.3026 0.0000
1.3294 0.7675 11.4140
Zn Pu Fe
1 2 1
Direct
0.0000 0.0000 0.0000
0.0914 0.0914 0.7257
0.9086 0.9086 0.2743
0.5000 0.5000 0.5000
```

Properties
Crystal system = trigonal
Space group = No. 166
Calculated density = 14.48 Mg/m³
Magnetic moment = 7.609 Bohr magnetons per cell


--- 3 ---
DFT (PBE-GGA) results for a relaxed structure of Pu2ZnFe.

Cell and atoms, written as POSCAR:
```
Pu2ZnFe
1.0
4.8259 0.0000 0.0000
0.0000 3.5626 0.0000
0.0000 0.0000 3.5626
Pu Zn Fe
2 1 1
Direct
0.0000 0.0000 0.5000
0.0000 0.5000 0.0000
0.5000 0.0000 0.0000
0.5000 0.5000 0.5000
```

Properties
Crystal system = tetragonal
Space group = No. 123
Calculated density = 16.52 Mg/m³
Magnetic moment = 1.846 Bohr magnetons per cell


Stability verdict: 1, ahead by 39.5 kJ/mol of atoms


--- 1 ---
DFT (PBE-GGA) results for a relaxed structure of PuZrFe.

Cell and atoms, written as POSCAR:
```
PuZrFe
1.0
-2.1565 1.9852 -1.8674
2.4215 -3.6273 -3.4210
-5.9577 -1.5352 5.2528
Fe Zr Pu
2 2 2
Direct
0.3511 0.2019 0.8405
0.6489 0.7981 0.1595
0.9203 0.3410 0.1419
0.0797 0.6590 0.8581
0.6763 0.8517 0.5888
0.3237 0.1483 0.4112
```

Properties
Crystal system = monoclinic
Space group = No. 12
Calculated density = 11.30 Mg/m³
Magnetic moment = 8.007 Bohr magnetons per cell


--- 2 ---
DFT (PBE-GGA) results for a relaxed structure of PuZrFe.

Cell and atoms, written as POSCAR:
```
PuZrFe
1.0
-2.1812 -0.1525 -2.5507
1.7976 -2.4749 -1.3893
-2.5238 -2.0760 4.4948
Fe Pu Zr
1 1 1
Direct
0.6509 0.6509 0.3019
0.0244 0.0244 0.0489
0.3246 0.3246 0.6492
```

Properties
Crystal system = tetragonal
Space group = No. 107
Calculated density = 11.45 Mg/m³
Magnetic moment = 3.481 Bohr magnetons per cell


Stability verdict: 1, ahead by 12.1 kJ/mol of atoms


--- 1 ---
DFT (PBE-GGA) results for a relaxed structure of RbFe.

Cell and atoms, written as POSCAR:
```
RbFe
1.0
-0.0379 -0.6046 10.1053
-2.1277 -9.8792 -0.5991
9.8972 -2.1261 -0.0901
Fe Rb
8 8
Direct
0.9195 0.0805 0.9195
0.5805 0.5805 0.5805
0.4195 0.4195 0.5805
0.9195 0.9195 0.0805
0.0805 0.9195 0.9195
0.0805 0.0805 0.0805
0.4195 0.5805 0.4195
0.5805 0.4195 0.4195
0.7149 0.2851 0.7149
0.7851 0.7851 0.7851
0.2851 0.2851 0.2851
0.2149 0.2149 0.7851
0.2149 0.7851 0.2149
0.2851 0.7149 0.7149
0.7851 0.2149 0.2149
0.7149 0.7149 0.2851
```

Properties
Crystal system = cubic
Space group = No. 217
Calculated density = 1.81 Mg/m³
Magnetic moment = 24.160 Bohr magnetons per cell


--- 2 ---
DFT (PBE-GGA) results for a relaxed structure of RbFe.

Cell and atoms, written as POSCAR:
```
RbFe
1.0
10.0275 0.0000 0.0000
0.0000 10.0275 0.0000
0.0000 0.0000 10.0275
Rb Fe
6 6
Direct
0.0000 0.2500 0.5000
0.5000 0.0000 0.2500
0.2500 0.5000 0.0000
0.5000 0.0000 0.7500
0.0000 0.7500 0.5000
0.7500 0.5000 0.0000
0.0000 0.5000 0.2500
0.7500 0.0000 0.5000
0.2500 0.0000 0.5000
0.0000 0.5000 0.7500
0.5000 0.2500 0.0000
0.5000 0.7500 0.0000
```

Properties
Crystal system = cubic
Space group = No. 223
Calculated density = 1.40 Mg/m³
Magnetic moment = 18.033 Bohr magnetons per cell


Stability verdict: 1, ahead by 90.9 kJ/mol of atoms